No. 1
The following is a DFT calculation (PBE-GGA) of an optimized crystal structure of Cu29Te5.

## Properties
Crystal system: triclinic
E above lowest polymorph (eV per atom): 0.003
Calculated density (g cm⁻³): 8.0

a b c (Å): 4.388 13.630 17.208
angles (deg): 92.15 93.89 90.51
Element x y z (fractional)
Cu  0.178  0.143  0.180
Cu  0.869  0.291  0.238
Cu  0.120  0.273  0.630
Cu  0.055  0.406  0.350
Cu  0.760  0.983  0.535
Cu  0.924  0.162  0.512
Cu  0.462  0.564  0.719
Cu  0.362  0.760  0.302
Cu  0.182  0.653  0.184
Cu  0.516  0.939  0.284
Cu  0.275  0.451  0.604
Cu  0.847  0.791  0.229
Cu  0.022  0.468  0.209
Cu  0.153  0.209  0.771
Cu  0.538  0.436  0.281
Cu  0.240  0.017  0.465
Cu  0.084  0.339  0.489
Cu  0.945  0.594  0.650
Cu  0.978  0.532  0.791
Cu  0.076  0.838  0.488
Cu  0.965  0.095  0.650
Cu  0.695  0.615  0.256
Cu  0.799  0.916  0.674
Cu  0.758  0.483  0.535
Cu  0.725  0.549  0.396
Cu  0.012  0.029  0.787
Cu  0.568  0.372  0.420
Cu  0.315  0.883  0.744
Cu  0.209  0.583  0.325
Cu  0.889  0.227  0.374
Cu  0.557  0.871  0.420
Cu  0.354  0.321  0.166
Cu  0.791  0.417  0.675
Cu  0.376  0.259  0.304
Cu  0.595  0.805  0.557
Cu  0.443  0.129  0.580
Cu  0.818  0.347  0.817
Cu  0.484  0.061  0.716
Cu  0.822  0.857  0.820
Cu  0.916  0.661  0.511
Cu  0.988  0.971  0.213
Cu  0.035  0.905  0.350
Cu  0.638  0.240  0.698
Cu  0.432  0.628  0.580
Cu  0.685  0.117  0.256
Cu  0.111  0.773  0.626
Cu  0.131  0.709  0.762
Cu  0.305  0.385  0.744
Cu  0.242  0.517  0.465
Cu  0.600  0.306  0.559
Cu  0.279  0.949  0.604
Cu  0.400  0.694  0.441
Cu  0.405  0.195  0.443
Cu  0.880  0.727  0.370
Cu  0.721  0.051  0.396
Cu  0.624  0.741  0.696
Cu  0.646  0.679  0.834
Cu  0.201  0.084  0.326
Te  0.148  0.729  0.918
Te  0.641  0.060  0.103
Te  0.852  0.271  0.082
Te  0.166  0.303  0.937
Te  0.371  0.858  0.145
Te  0.359  0.940  0.897
Te  0.629  0.142  0.855
Te  0.498  0.493  0.874
Te  0.834  0.697  0.063
Te  0.502  0.507  0.126

---

No. 2
The following is a DFT calculation (PBE-GGA) of an optimized crystal structure of Cu7Te4.

## Properties
Crystal system: monoclinic
E above lowest polymorph (eV per atom): 0.160
Calculated density (g cm⁻³): 7.8

a b c (Å): 7.817 7.812 7.641
angles (deg): 90.00 90.00 119.98
Element x y z (fractional)
Cu  0.395  0.198  0.486
Cu  0.608  0.804  0.434
Cu  0.666  0.333  0.959
Cu  0.197  0.802  0.976
Cu  0.333  0.667  0.202
Cu  0.802  0.198  0.486
Cu  0.196  0.392  0.433
Cu  0.605  0.802  0.976
Cu  0.196  0.804  0.433
Cu  0.802  0.605  0.486
Cu  0.854  0.707  0.840
Cu  0.854  0.147  0.840
Cu  0.292  0.146  0.840
Cu  0.197  0.395  0.976
Te  0.000  0.000  0.066
Te  0.962  0.481  0.228
Te  0.490  0.980  0.723
Te  0.519  0.481  0.230
Te  0.519  0.039  0.230
Te  0.490  0.510  0.723
Te  0.020  0.510  0.721
Te  0.000  0.000  0.544

---

Q: calculated density of number 1 (Cu29Te5)?
A: 8.0 g cm⁻³